[1]
The following is a DFT calculation (PBE) of MoOsSe2 after structural relaxation.

Output
As for the density of states at the Fermi level: 2.73 states/eV/f.u. Its formation energy without anion corrections is 0.29 kcal/mol of atoms. For the energy above the lowest structure with this stoichiometry, the calculation gives 0.00 kcal/mol of atoms. As for the total energy: -7.24 eV per atom. The calculation puts the volume at 73 Å³/cell.

Lattice parameters (Å, degrees): 2.9845 2.9845 8.2512 90.00 90.00 90.00
Element x y z (fractional)
Os (0.5000, 0.5000, 0.7453)
Se (0.0000, 0.0000, 0.9253)
Se (0.5000, 0.5000, 0.3236)
Mo (0.0000, 0.0000, 0.5058)

---

[2]
The following is a DFT calculation (PBE) of Mo2OsSe5 after structural relaxation.

Output
As for the density of states at the Fermi level: 6.75 states/eV/f.u. Its formation energy without anion corrections is 2.34 kcal/mol of atoms. As for the total energy: -6.19 eV per atom. The calculation puts the volume at 217 Å³/cell.

Lattice parameters (Å, degrees): 5.5745 7.1740 7.0680 59.50 66.79 90.00
Element x y z (fractional)
Mo (0.5052, 0.9803, 0.0395)
Mo (0.9142, 0.3633, 0.2733)
Se (0.9271, 0.1726, 0.6548)
Se (0.6450, 0.0588, 0.3124)
Se (0.2855, 0.7353, 0.9719)
Se (0.2854, 0.2928, 0.9719)
Se (0.6450, 0.6288, 0.3124)
Os (0.0157, 0.9911, 0.0177)